No. 1
! CsBi2OsBr (PBEsol, relaxed); values from VASP
! * formation energy from raw total energies: 5.15 kcal/mol of atoms
! * total magnetization: 0.000 μB per atom
&SYSTEM
  ibrav = 0, nat = 5, ntyp = 4
/
ATOMIC_SPECIES
Cs 132.91 Cs.upf
Os 190.23 Os.upf
Bi 208.98 Bi.upf
Br 79.90 Br.upf
ATOMIC_POSITIONS crystal
Cs 0.500 0.500 0.500
Os 0.000 0.000 0.000
Bi 0.000 0.500 0.000
Bi 0.500 0.000 0.000
Br 0.000 0.000 0.500
CELL_PARAMETERS angstrom
-4.078 -2.942 -1.346
2.847 -4.292 0.757
-1.768 -0.164 5.713



No. 2
! LaMg2Cd2 (PBEsol, relaxed); values from VASP
! * formation energy: -223 meV/atom
! * total magnetization: 0.000 μB per atom
&SYSTEM
  ibrav = 0, nat = 5, ntyp = 3
/
ATOMIC_SPECIES
Mg 24.30 Mg.upf
Cd 112.41 Cd.upf
La 138.91 La.upf
ATOMIC_POSITIONS crystal
Mg 0.250 0.750 0.500
Mg 0.750 0.250 0.500
Cd 0.392 0.392 0.785
Cd 0.608 0.608 0.215
La 0.000 0.000 0.000
CELL_PARAMETERS angstrom
4.442 0.000 0.000
0.000 4.442 0.000
-2.221 -2.221 6.423



No. 3
! SrTcSe4 (PBEsol, relaxed); values from VASP
! * formation energy from raw total energies: 10.61 kcal/mol of atoms
! * total magnetization: 0.656 μB per atom
&SYSTEM
  ibrav = 0, nat = 6, ntyp = 3
/
ATOMIC_SPECIES
Se 78.96 Se.upf
Sr 87.62 Sr.upf
Tc 98.00 Tc.upf
ATOMIC_POSITIONS crystal
Se 0.374 0.374 0.374
Se 0.374 0.374 0.878
Se 0.878 0.374 0.374
Se 0.374 0.878 0.374
Sr 0.750 0.750 0.750
Tc 0.000 0.000 0.000
CELL_PARAMETERS angstrom
-4.748 1.107 -3.045
-4.829 -2.941 1.035
-4.473 2.606 2.497



No. 4
! TiFe3Se (PBEsol, relaxed); values from VASP
! * formation energy from raw total energies: 13.73 kcal/mol of atoms
! * total magnetization: 0.868 μB per atom
! * E above lowest polymorph: 0.0 meV/atom
&SYSTEM
  ibrav = 0, nat = 5, ntyp = 3
/
ATOMIC_SPECIES
Fe 55.84 Fe.upf
Se 78.96 Se.upf
Ti 47.87 Ti.upf
ATOMIC_POSITIONS crystal
Fe 0.000 0.500 0.000
Fe 0.000 0.000 0.500
Fe 0.500 0.000 0.000
Se 0.000 0.000 0.000
Ti 0.500 0.500 0.500
CELL_PARAMETERS angstrom
4.258 0.000 0.000
0.000 4.258 0.000
0.000 0.000 4.258